[1]
The following is a DFT calculation (PBE) of Mo2RuCl after structural relaxation.

a b c (Å): 2.8365 4.0977 5.4784
angles (deg): 90.00 104.74 90.00
Last column: nearest neighbours and their distance in Å.
Space group Pm (No. 6)
Inequivalent atoms, fractional coordinates:
Mo 0.0000 0.0000 0.0000  1 Cl 2.40
Mo 0.3367 0.5000 0.6901  2 Cl 2.41, 1 Ru 2.69
Ru 0.5982 0.5000 0.1970  7 Mo 2.69-2.98, 4 Cl 2.83-2.84, 2 Ru 2.84
Cl 0.2171 0.0000 0.4523  3 Mo 2.40-2.41

## Properties
Energy (eV/atom): -7.764
ΔE_f (raw) (meV/atom): 432
Energy relative to the lowest polymorph listed for this composition (meV/atom): 214.5



[2]
The following is a DFT calculation (PBE) of LiY2SnBr after structural relaxation.

a b c (Å): 5.4585 5.4585 4.5396
angles (deg): 90.00 90.00 90.00
Last column: nearest neighbours and their distance in Å.
Space group P4/mmm (No. 123)
Inequivalent atoms, fractional coordinates:
Li 0.0000 0.0000 0.0000  2 Sn 2.27
Y 0.0000 0.5000 0.0000  2 Li 2.73
Sn 0.0000 0.0000 0.5000  2 Li 2.27
Br 0.5000 0.5000 0.5000  8 Y 3.55, 4 Sn 3.86

## Properties
Energy (eV/atom): -4.253
ΔE_f (raw) (meV/atom): -149